(1)
A relaxed Cd4InHg6 crystal. Source: Alexandria via LeMat-Bulk, functional PBE-GGA.

abc: 6.207 6.207 8.713
angles: 110.30 110.30 91.16
Fractional positions:
Cd1 0.000 0.000 0.000
Cd2 0.252 0.905 0.512
Cd3 0.649 0.649 0.000
Cd4 0.905 0.252 0.512
In1 0.452 0.452 0.257
Hg1 0.076 0.473 0.901
Hg2 0.432 0.432 0.611
Hg3 0.450 0.950 0.254
Hg4 0.473 0.076 0.901
Hg5 0.824 0.824 0.611
Hg6 0.950 0.450 0.254

Calculated values
DOS at the Fermi energy = 0.277 states/eV per atom
E_tot = -0.709 eV/atom
space group = Cm
energy of formation from the pure elements = 0.0371 eV per atom
energy above the lowest structure with this stoichiometry = 0.0000 eV/atom

(2)
A relaxed Cr2SiRu crystal. Source: Alexandria via LeMat-Bulk, functional PBE-GGA.

abc: 4.516 4.516 4.394
angles: 106.99 106.99 36.50
Fractional positions:
Cr1 0.000 0.000 0.000
Cr2 0.250 0.250 0.865
Si1 0.503 0.503 0.511
Ru1 0.760 0.760 0.376

Calculated values
DOS at the Fermi energy = 1.122 states/eV per atom
E_tot = -8.644 eV/atom
space group = Cm
uncorrected formation energy = -15 kJ per mole of atoms

(3)
A relaxed La5Pr2SmTl crystal. Source: Alexandria via LeMat-Bulk, functional PBE-GGA.

abc: 10.541 10.541 11.171
angles: 90.00 90.00 148.59
Fractional positions:
La1 0.000 0.000 0.000
La2 0.000 0.000 0.500
La3 0.121 0.879 0.751
La4 0.210 0.790 0.451
La5 0.212 0.788 0.053
La6 0.489 0.511 0.751
La7 0.511 0.489 0.251
La8 0.788 0.212 0.553
La9 0.790 0.210 0.951
La10 0.879 0.121 0.251
Pr1 0.382 0.618 0.454
Pr2 0.383 0.617 0.048
Pr3 0.617 0.383 0.548
Pr4 0.618 0.382 0.954
Sm1 0.307 0.693 0.752
Sm2 0.693 0.307 0.252
Tl1 0.092 0.908 0.249
Tl2 0.908 0.092 0.749

Calculated values
DOS at the Fermi energy = 1.517 states/eV per atom
E_tot = -4.598 eV/atom
space group = Cmc2_1
energy of formation from the pure elements = -0.0115 eV per atom

(4)
A relaxed ScPaTl2 crystal. Source: Alexandria via LeMat-Bulk, functional PBE-GGA.

abc: 3.289 3.289 9.092
angles: 90.00 90.00 90.00
Fractional positions:
Sc1 0.000 0.000 0.000
Pa1 0.000 0.000 0.500
Tl1 0.500 0.500 0.234
Tl2 0.500 0.500 0.766

Calculated values
DOS at the Fermi energy = 1.562 states/eV per atom
E_tot = -5.154 eV/atom
space group = P4/mmm
energy of formation from the pure elements = -0.0144 eV per atom
energy above the lowest structure with this stoichiometry = 0.0065 eV/atom

(5)
A relaxed Tb4Pr2Dy5 crystal. Source: Alexandria via LeMat-Bulk, functional PBE-GGA.

abc: 12.632 12.632 12.632
angles: 164.04 137.83 45.36
Fractional positions:
Tb1 0.097 0.097 0.000
Tb2 0.192 0.500 0.692
Tb3 0.808 0.500 0.308
Tb4 0.903 0.903 0.000
Pr1 0.232 0.232 0.000
Pr2 0.768 0.768 0.000
Dy1 0.165 0.359 0.806
Dy2 0.447 0.641 0.806
Dy3 0.500 0.000 0.500
Dy4 0.553 0.359 0.194
Dy5 0.835 0.641 0.194

Calculated values
DOS at the Fermi energy = 1.477 states/eV per atom
E_tot = -4.436 eV/atom
space group = Immm
energy of formation from the pure elements = 0.2084 eV per atom
energy above the lowest structure with this stoichiometry = 0.0596 eV/atom

(6)
A relaxed TlPd5Pt6 crystal. Source: Alexandria via LeMat-Bulk, functional PBE-GGA.

abc: 7.460 7.460 7.460
angles: 149.03 114.00 74.69
Fractional positions:
Tl1 0.000 0.000 0.000
Pd1 0.165 0.665 0.500
Pd2 0.332 0.332 0.000
Pd3 0.500 0.000 0.500
Pd4 0.668 0.668 0.000
Pd5 0.835 0.335 0.500
Pt1 0.086 0.831 0.255
Pt2 0.261 0.500 0.761
Pt3 0.424 0.169 0.255
Pt4 0.576 0.831 0.745
Pt5 0.739 0.500 0.239
Pt6 0.914 0.169 0.745

Calculated values
DOS at the Fermi energy = 1.705 states/eV per atom
E_tot = -5.427 eV/atom
space group = Immm
energy of formation from the pure elements = -0.0459 eV per atom

(7)
A relaxed Th2TlPt9 crystal. Source: Alexandria via LeMat-Bulk, functional PBE-GGA.

abc: 4.206 4.206 12.501
angles: 90.00 90.00 90.00
Fractional positions:
Th1 0.000 0.000 0.172
Th2 0.000 0.000 0.828
Tl1 0.000 0.000 0.500
Pt1 0.000 0.500 0.000
Pt2 0.000 0.500 0.337
Pt3 0.000 0.500 0.663
Pt4 0.500 0.000 0.000
Pt5 0.500 0.000 0.337
Pt6 0.500 0.000 0.663
Pt7 0.500 0.500 0.170
Pt8 0.500 0.500 0.500
Pt9 0.500 0.500 0.830

Calculated values
DOS at the Fermi energy = 0.216 states/eV per atom
E_tot = -6.743 eV/atom
space group = P4/mmm
energy of formation from the pure elements = -0.7783 eV per atom
energy above the lowest structure with this stoichiometry = 0.0000 eV/atom

(8)
A relaxed AlHgRh3 crystal. Source: Alexandria via LeMat-Bulk, functional PBE-GGA.

abc: 4.905 4.905 4.905
angles: 90.00 90.00 90.00
Fractional positions:
Al1 0.000 0.000 0.000
Hg1 0.500 0.500 0.500
Rh1 0.000 0.500 0.500
Rh2 0.500 0.000 0.500
Rh3 0.500 0.500 0.000

Calculated values
DOS at the Fermi energy = 1.255 states/eV per atom
E_tot = -3.672 eV/atom
space group = Pm-3m
energy of formation from the pure elements = 1.5479 eV per atom

(9)
A relaxed MnSb3Pt crystal. Source: Alexandria via LeMat-Bulk, functional PBE-GGA.

abc: 4.879 4.879 4.879
angles: 90.00 90.00 90.00
Fractional positions:
Mn1 0.000 0.000 0.000
Sb1 0.000 0.000 0.500
Sb2 0.000 0.500 0.000
Sb3 0.500 0.000 0.000
Pt1 0.500 0.500 0.500

Calculated values
DOS at the Fermi energy = 0.495 states/eV per atom
E_tot = -5.034 eV/atom
space group = Pm-3m
energy above the lowest structure with this stoichiometry = 0.0000 eV/atom
uncorrected formation energy = 46 kJ per mole of atoms

(10)
A relaxed SmHoEr crystal. Source: Alexandria via LeMat-Bulk, functional PBE-GGA.

abc: 4.815 4.815 8.610
angles: 90.00 90.00 90.00
Fractional positions:
Sm1 0.250 0.250 0.196
Sm2 0.750 0.750 0.804
Ho1 0.250 0.250 0.797
Ho2 0.750 0.750 0.203
Er1 0.250 0.750 0.500
Er2 0.750 0.250 0.500

Calculated values
DOS at the Fermi energy = 1.341 states/eV per atom
E_tot = -4.412 eV/atom
space group = P4/nmm
energy of formation from the pure elements = 0.2077 eV per atom
energy above the lowest structure with this stoichiometry = 0.1978 eV/atom

(11)
A relaxed Er3Zn2Pd crystal. Source: Alexandria via LeMat-Bulk, functional PBE-GGA.

abc: 4.965 4.965 6.091
angles: 90.00 90.00 120.00
Fractional positions:
Er1 0.000 0.000 0.000
Er2 0.333 0.667 0.659
Er3 0.667 0.333 0.341
Zn1 0.333 0.667 0.151
Zn2 0.667 0.333 0.849
Pd1 0.000 0.000 0.500

Calculated values
DOS at the Fermi energy = 0.600 states/eV per atom
E_tot = -4.120 eV/atom
space group = P-3m1
energy of formation from the pure elements = -0.5489 eV per atom
energy above the lowest structure with this stoichiometry = 0.0071 eV/atom

(12)
A relaxed Zr2CdP crystal. Source: Alexandria via LeMat-Bulk, functional PBE-GGA.

abc: 4.460 4.460 3.907
angles: 90.00 90.00 90.00
Fractional positions:
Zr1 0.000 0.500 0.000
Zr2 0.500 0.000 0.000
Cd1 0.000 0.000 0.500
P1 0.500 0.500 0.500

Calculated values
DOS at the Fermi energy = 0.662 states/eV per atom
E_tot = -6.189 eV/atom
space group = P4/mmm
energy of formation from the pure elements = -0.3341 eV per atom
energy above the lowest structure with this stoichiometry = 0.3984 eV/atom

(13)
A relaxed Tb3Ni8Pd crystal. Source: Alexandria via LeMat-Bulk, functional PBE-GGA.

abc: 5.001 5.001 8.185
angles: 90.00 90.00 120.00
Fractional positions:
Tb1 0.000 0.000 0.000
Tb2 0.000 0.000 0.390
Tb3 0.333 0.667 0.830
Ni1 0.001 0.501 0.182
Ni2 0.337 0.169 0.680
Ni3 0.499 0.501 0.182
Ni4 0.499 0.999 0.182
Ni5 0.667 0.333 0.429
Ni6 0.667 0.333 0.933
Ni7 0.831 0.169 0.680
Ni8 0.831 0.663 0.680
Pd1 0.333 0.667 0.471

Calculated values
DOS at the Fermi energy = 1.164 states/eV per atom
E_tot = -5.853 eV/atom
space group = P3m1
energy of formation from the pure elements = -0.4089 eV per atom
energy above the lowest structure with this stoichiometry = 0.0104 eV/atom

(14)
A relaxed HfFeRe2Ge crystal. Source: Alexandria via LeMat-Bulk, functional PBE-GGA.

abc: 4.515 4.515 4.277
angles: 90.00 90.00 90.00
Fractional positions:
Hf1 0.000 0.000 0.000
Fe1 0.500 0.500 0.500
Re1 0.000 0.500 0.500
Re2 0.500 0.000 0.500
Ge1 0.500 0.500 0.000

Calculated values
DOS at the Fermi energy = 1.014 states/eV per atom
E_tot = -8.781 eV/atom
space group = P4/mmm
energy of formation from the pure elements = 0.8052 eV per atom

(15)
A relaxed Ac2NdYTe5 crystal. Source: Alexandria via LeMat-Bulk, functional PBE-GGA.

abc: 5.689 5.689 11.690
angles: 90.00 90.00 90.00
Fractional positions:
Ac1 0.000 0.000 0.193
Ac2 0.000 0.000 0.807
Nd1 0.500 0.500 0.000
Y1 0.500 0.500 0.500
Te1 0.000 0.000 0.500
Te2 0.000 0.500 0.000
Te3 0.500 0.000 0.000
Te4 0.500 0.500 0.259
Te5 0.500 0.500 0.741

Calculated values
DOS at the Fermi energy = 0.748 states/eV per atom
E_tot = -4.820 eV/atom
space group = P4/mmm
uncorrected formation energy = -88 kJ per mole of atoms

(16)
A relaxed La2Sm8Cd crystal. Source: Alexandria via LeMat-Bulk, functional PBE-GGA.

abc: 9.534 9.534 8.036
angles: 104.78 104.78 31.14
Fractional positions:
La1 0.224 0.224 0.136
La2 0.776 0.776 0.864
Sm1 0.044 0.044 0.224
Sm2 0.135 0.135 0.675
Sm3 0.322 0.322 0.592
Sm4 0.412 0.412 0.057
Sm5 0.588 0.588 0.943
Sm6 0.678 0.678 0.408
Sm7 0.865 0.865 0.325
Sm8 0.956 0.956 0.776
Cd1 0.500 0.500 0.500

Calculated values
DOS at the Fermi energy = 1.482 states/eV per atom
E_tot = -4.420 eV/atom
space group = C2/m
energy of formation from the pure elements = -0.0087 eV per atom
energy above the lowest structure with this stoichiometry = 0.0000 eV/atom

(17)
A relaxed Ce3Tl3CoS8 crystal. Source: Alexandria via LeMat-Bulk, functional PBE-GGA.

abc: 8.837 8.837 8.837
angles: 53.71 53.71 53.71
Fractional positions:
Ce1 0.000 0.500 0.500
Ce2 0.500 0.000 0.500
Ce3 0.500 0.500 0.000
Tl1 0.000 0.000 0.500
Tl2 0.000 0.500 0.000
Tl3 0.500 0.000 0.000
Co1 0.000 0.000 0.000
S1 0.219 0.219 0.748
S2 0.219 0.748 0.219
S3 0.252 0.781 0.781
S4 0.265 0.265 0.265
S5 0.735 0.735 0.735
S6 0.748 0.219 0.219
S7 0.781 0.252 0.781
S8 0.781 0.781 0.252

Calculated values
DOS at the Fermi energy = 0.869 states/eV per atom
E_tot = -5.451 eV/atom
space group = R-3m
uncorrected formation energy = -108 kJ per mole of atoms

(18)
A relaxed La3H2Pb crystal. Source: Alexandria via LeMat-Bulk, functional PBE-GGA.

abc: 12.617 12.617 6.737
angles: 104.46 104.46 17.23
Fractional positions:
La1 0.033 0.033 0.281
La2 0.234 0.234 0.217
La3 0.396 0.396 0.146
La4 0.604 0.604 0.854
La5 0.766 0.766 0.783
La6 0.967 0.967 0.719
H1 0.057 0.057 0.952
H2 0.296 0.296 0.996
H3 0.704 0.704 0.004
H4 0.943 0.943 0.048
Pb1 0.352 0.352 0.586
Pb2 0.648 0.648 0.414

Calculated values
DOS at the Fermi energy = 0.789 states/eV per atom
E_tot = -4.632 eV/atom
space group = C2/m

(19)
A relaxed Tl2NiPb crystal. Source: Alexandria via LeMat-Bulk, functional PBE-GGA.

abc: 3.299 3.299 8.930
angles: 90.00 90.00 90.00
Fractional positions:
Tl1 0.000 0.000 0.185
Tl2 0.000 0.000 0.815
Ni1 0.500 0.500 0.000
Pb1 0.500 0.500 0.500

Calculated values
DOS at the Fermi energy = 0.537 states/eV per atom
E_tot = -3.312 eV/atom
space group = P4/mmm
energy of formation from the pure elements = 0.2431 eV per atom
energy above the lowest structure with this stoichiometry = 0.0873 eV/atom

(20)
A relaxed AcPr2PuO8 crystal. Source: Alexandria via LeMat-Bulk, functional PBE-GGA.

abc: 4.188 7.752 5.634
angles: 90.00 96.44 90.00
Fractional positions:
Ac1 0.000 0.000 0.000
Pr1 0.500 0.248 0.500
Pr2 0.500 0.752 0.500
Pu1 0.000 0.500 0.000
O1 0.052 0.291 0.766
O2 0.052 0.709 0.766
O3 0.412 0.500 0.208
O4 0.488 0.000 0.739
O5 0.512 0.000 0.261
O6 0.588 0.500 0.792
O7 0.948 0.291 0.234
O8 0.948 0.709 0.234

Calculated values
DOS at the Fermi energy = 0.066 states/eV per atom
E_tot = -8.619 eV/atom
space group = P2/m
uncorrected formation energy = -288 kJ per mole of atoms

| no. | M_tot (Bohr magnetons per cell) | mass density (g cm⁻³) |
| --- | --- | --- |
| 1 | 0.0 | 10.07 |
| 2 | 0.2 | 7.63 |
| 3 | 0.0 | 6.83 |
| 4 | 1.3 | 11.56 |
| 5 | 0.0 | 7.73 |
| 6 | 0.0 | 16.49 |
| 7 | 0.0 | 18.20 |
| 8 | 1.3 | 7.55 |
| 9 | 1.5 | 8.80 |
| 10 | 0.0 | 8.03 |
| 11 | 0.0 | 9.44 |
| 12 | 0.0 | 6.96 |
| 13 | 0.0 | 9.86 |
| 14 | 0.0 | 12.94 |
| 15 | 0.0 | 5.82 |
| 16 | 0.0 | 7.26 |
| 17 | 3.7 | 5.38 |
| 18 | 0.0 | 6.76 |
| 19 | 0.0 | 11.53 |
| 20 | 1.0 | 8.05 |